No. 1
# Cs2NaCeI6

Cs2NaCeI6 at its PBEsol-relaxed geometry (meta-GGA SCAN, Alexandria via LeMat-Bulk).

abc: 8.6713 8.6713 8.6713
angles: 60.00 60.00 60.00
Last column: magnetic moment on the atom in μB.
Fractional positions:
1 I 0.7496 0.2504 0.2504  -0.01
2 I 0.2504 0.7496 0.7496  -0.01
3 I 0.7496 0.2504 0.7496  -0.01
4 I 0.2504 0.7496 0.2504  -0.01
5 I 0.7496 0.7496 0.2504  -0.01
6 I 0.2504 0.2504 0.7496  -0.01
7 Ce 0.0000 0.0000 0.0000  0.99
8 Na 0.5000 0.5000 0.5000  0.00
9 Cs 0.2500 0.2500 0.2500  0.00
10 Cs 0.7500 0.7500 0.7500  0.00

Total moment ... 1.000 μB/f.u.
Space-group type ... Fm-3m
Energy relative to the elements, uncorrected ... -1617 meV/atom
Raw total energy ... -36.102 eV/atom


No. 2
# Cs2CeO3

Cs2CeO3 at its PBEsol-relaxed geometry (meta-GGA SCAN, Alexandria via LeMat-Bulk).

abc: 6.6223 7.4355 14.0693
angles: 90.00 90.00 116.44
Fractional positions:
1 O 0.8468 0.6936 0.0474
2 O 0.5940 0.1881 0.1324
3 O 0.3468 0.6936 0.4526
4 O 0.5325 0.5650 0.2500
5 O 0.0940 0.1881 0.3676
6 O 0.4675 0.4350 0.7500
7 O 0.9060 0.8119 0.6324
8 O 0.4060 0.8119 0.8676
9 O 0.9675 0.4350 0.7500
10 O 0.0325 0.5650 0.2500
11 O 0.6532 0.3064 0.5474
12 O 0.1532 0.3064 0.9526
13 Cs 0.0563 0.1126 0.1367
14 Cs 0.5563 0.1126 0.3633
15 Cs 0.1156 0.2312 0.5877
16 Cs 0.4437 0.8874 0.6367
17 Cs 0.6156 0.2312 0.9123
18 Cs 0.9437 0.8874 0.8633
19 Cs 0.3844 0.7688 0.0877
20 Cs 0.8844 0.7688 0.4123
21 Ce 0.7549 0.5097 0.6550
22 Ce 0.2549 0.5097 0.8450
23 Ce 0.2451 0.4903 0.3450
24 Ce 0.7451 0.4903 0.1550

Total moment ... 0.000 μB/f.u.
Space-group type ... Cmce
Energy relative to the elements, uncorrected ... -2487 meV/atom
Raw total energy ... -25.634 eV/atom


No. 3
# CeCu6

CeCu6 at its PBEsol-relaxed geometry (meta-GGA SCAN, Alexandria via LeMat-Bulk).

abc: 4.9307 7.9304 9.9356
angles: 90.00 90.00 90.00
Fractional positions:
1 Cu 0.7500 0.8538 0.8563
2 Cu 0.7500 0.9393 0.0943
3 Cu 0.5047 0.5638 0.8082
4 Cu 0.4953 0.9362 0.3082
5 Cu 0.2500 0.1462 0.1437
6 Cu 0.9953 0.5638 0.8082
7 Cu 0.2500 0.5607 0.5943
8 Cu 0.7500 0.4393 0.4057
9 Cu 0.7500 0.1830 0.2435
10 Cu 0.9953 0.0638 0.6918
11 Cu 0.2500 0.3990 0.9845
12 Cu 0.7500 0.6010 0.0155
13 Cu 0.5047 0.0638 0.6918
14 Cu 0.2500 0.8170 0.7565
15 Cu 0.2500 0.8990 0.5155
16 Cu 0.0047 0.9362 0.3082
17 Cu 0.2500 0.3170 0.7435
18 Cu 0.2500 0.6462 0.3563
19 Cu 0.4953 0.4362 0.1918
20 Cu 0.7500 0.3538 0.6437
21 Cu 0.0047 0.4362 0.1918
22 Cu 0.7500 0.1010 0.4845
23 Cu 0.7500 0.6830 0.2565
24 Cu 0.2500 0.0607 0.9057
25 Ce 0.2500 0.2592 0.4344
26 Ce 0.7500 0.2408 0.9344
27 Ce 0.7500 0.7408 0.5656
28 Ce 0.2500 0.7592 0.0656

Total moment ... 0.002 μB/f.u.
Space-group type ... Pnma
Formation energy from the elements ... -0.103 eV/atom
Raw total energy ... -19.497 eV/atom


No. 4
# CeGa2Cu3

CeGa2Cu3 at its PBEsol-relaxed geometry (meta-GGA SCAN, Alexandria via LeMat-Bulk).

abc: 4.1176 5.0565 5.0565
angles: 117.88 90.00 90.00
Last column: magnetic moment on the atom in μB.
Fractional positions:
1 Ce 0.0000 0.5000 0.5000  0.60
2 Cu 0.0000 0.1593 0.8407  -0.01
3 Cu 0.0000 0.8407 0.1593  -0.01
4 Cu 0.5000 0.0000 0.0000  0.00
5 Ga 0.5000 0.0000 0.5000  -0.01
6 Ga 0.5000 0.5000 0.0000  -0.01

Total moment ... 0.656 μB/f.u.
Space-group type ... Cmmm
Formation energy from the elements ... -0.403 eV/atom
Raw total energy ... -20.879 eV/atom


No. 5
# Ce2Ga5Cu3

Ce2Ga5Cu3 at its PBEsol-relaxed geometry (meta-GGA SCAN, Alexandria via LeMat-Bulk).

abc: 4.1499 4.1499 10.0492
angles: 90.00 90.00 90.00
Last column: magnetic moment on the atom in μB.
Fractional positions:
1 Ga 0.5000 0.5000 0.0000  -0.01
2 Ga 0.0000 0.5000 0.6209  -0.01
3 Ga 0.5000 0.0000 0.3791  -0.01
4 Ga 0.5000 0.0000 0.1371  -0.01
5 Ga 0.0000 0.5000 0.8629  -0.01
6 Cu 0.0000 0.0000 0.0000  -0.01
7 Cu 0.0000 0.0000 0.5000  -0.01
8 Cu 0.5000 0.5000 0.5000  -0.01
9 Ce 0.0000 0.5000 0.2577  0.68
10 Ce 0.5000 0.0000 0.7423  0.68

Total moment ... 1.452 μB/f.u.
Space-group type ... P-4m2
Formation energy from the elements ... -0.518 eV/atom
Raw total energy ... -22.164 eV/atom


No. 6
# CeCu2Ge2

CeCu2Ge2 at its PBEsol-relaxed geometry (meta-GGA SCAN, Alexandria via LeMat-Bulk).

abc: 4.0969 4.0969 5.7747
angles: 110.78 110.78 90.00
Last column: magnetic moment on the atom in μB.
Fractional positions:
1 Cu 0.2500 0.7500 0.5000  0.00
2 Cu 0.7500 0.2500 0.5000  0.00
3 Ge 0.6228 0.6228 0.2456  -0.01
4 Ge 0.3772 0.3772 0.7544  -0.01
5 Ce 0.0000 0.0000 0.0000  0.72

Total moment ... 0.761 μB/f.u.
Space-group type ... I4/mmm
Formation energy from the elements ... -0.594 eV/atom
Raw total energy ... -23.221 eV/atom


No. 7
# Ce2CuGe6

Ce2CuGe6 at its PBEsol-relaxed geometry (meta-GGA SCAN, Alexandria via LeMat-Bulk).

abc: 4.0340 4.1004 10.8328
angles: 90.00 100.73 90.00
Last column: magnetic moment on the atom in μB.
Fractional positions:
1 Ge 0.5998 0.0000 0.1997  -0.01
2 Ge 0.8837 0.5000 0.7675  -0.01
3 Ge 0.0991 0.5000 0.1981  0.00
4 Ge 0.7155 0.0000 0.4309  -0.01
5 Ge 0.4549 0.5000 0.9098  -0.01
6 Ge 0.2147 0.5000 0.4295  0.00
7 Ce 0.9964 0.0000 0.9927  0.60
8 Ce 0.3305 0.0000 0.6610  0.76
9 Cu 0.7744 0.5000 0.5489  0.00

Total moment ... 1.566 μB/f.u.
Space-group type ... Amm2
Formation energy from the elements ... -0.474 eV/atom
Raw total energy ... -24.791 eV/atom


No. 8
# K2CeCu2S4

K2CeCu2S4 at its PBEsol-relaxed geometry (meta-GGA SCAN, Alexandria via LeMat-Bulk).

abc: 3.9155 7.3743 7.4481
angles: 109.07 90.00 105.40
Last column: magnetic moment on the atom in μB.
Fractional positions:
1 K 0.8636 0.7272 0.4370  0.00
2 K 0.1364 0.2728 0.5630  0.00
3 Cu 0.6791 0.3581 0.9851  -0.01
4 Cu 0.3209 0.6419 0.0149  -0.01
5 S 0.7986 0.5973 0.8289  0.00
6 S 0.5219 0.0439 0.7624  -0.01
7 S 0.4781 0.9561 0.2376  -0.01
8 S 0.2014 0.4027 0.1711  0.00
9 Ce 0.0000 0.0000 0.0000  0.08

Total moment ... 0.055 μB/f.u.
Space-group type ... C2/m
Energy relative to the elements, uncorrected ... -1366 meV/atom
Raw total energy ... -15.826 eV/atom


Repeat the seventh record exactly.
# Ce2CuGe6

Ce2CuGe6 at its PBEsol-relaxed geometry (meta-GGA SCAN, Alexandria via LeMat-Bulk).

abc: 4.0340 4.1004 10.8328
angles: 90.00 100.73 90.00
Last column: magnetic moment on the atom in μB.
Fractional positions:
1 Ge 0.5998 0.0000 0.1997  -0.01
2 Ge 0.8837 0.5000 0.7675  -0.01
3 Ge 0.0991 0.5000 0.1981  0.00
4 Ge 0.7155 0.0000 0.4309  -0.01
5 Ge 0.4549 0.5000 0.9098  -0.01
6 Ge 0.2147 0.5000 0.4295  0.00
7 Ce 0.9964 0.0000 0.9927  0.60
8 Ce 0.3305 0.0000 0.6610  0.76
9 Cu 0.7744 0.5000 0.5489  0.00

Total moment ... 1.566 μB/f.u.
Space-group type ... Amm2
Formation energy from the elements ... -0.474 eV/atom
Raw total energy ... -24.791 eV/atom


Q: Among the records above, which one has the highest total moment?
A: Ce2CuGe6